ZnCoSi4O10: optimized geometry, GGA+U.

The structure in extended XYZ format:
```
64
Lattice="7.261 0.000 0.000 0.000 7.261 0.000 0.000 0.000 14.988" Properties=species:S:1:pos:R:3 pbc="T T T"
Zn 1.815 5.446 0.000
Zn 1.815 5.446 7.494
Zn 5.446 1.815 0.000
Zn 5.446 1.815 7.494
Co 1.815 1.815 1.042
Co 1.815 1.815 8.536
Co 5.446 5.446 6.452
Co 5.446 5.446 13.946
Si 0.089 4.288 2.179
Si 0.089 6.604 9.673
Si 0.657 3.720 5.315
Si 0.657 7.172 12.810
Si 2.974 3.720 12.810
Si 2.974 7.172 5.315
Si 3.541 4.288 9.673
Si 3.541 6.604 2.179
Si 3.720 0.657 12.810
Si 3.720 2.974 5.315
Si 4.288 0.089 9.673
Si 4.288 3.541 2.179
Si 6.604 0.089 2.179
Si 6.604 3.541 9.673
Si 7.172 0.657 5.315
Si 7.172 2.974 12.810
O 0.000 1.371 13.099
O 0.000 2.260 5.605
O 7.261 5.002 9.383
O 7.261 5.890 1.889
O 0.115 4.842 6.362
O 0.115 6.050 13.856
O 0.446 4.077 3.747
O 0.446 6.815 11.241
O 1.211 3.746 1.132
O 1.211 7.146 8.626
O 1.371 0.000 5.605
O 1.371 3.630 13.099
O 2.260 0.000 13.099
O 2.260 3.630 5.605
O 2.420 3.746 8.626
O 2.420 7.146 1.132
O 3.184 4.077 11.241
O 3.184 6.815 3.747
O 3.515 4.842 13.856
O 3.515 6.050 6.362
O 3.630 1.371 5.605
O 3.630 2.260 13.099
O 3.631 5.002 1.889
O 3.631 5.890 9.383
O 3.746 1.211 8.626
O 3.746 2.420 1.132
O 4.077 0.446 11.241
O 4.077 3.184 3.747
O 4.842 0.115 13.856
O 4.842 3.515 6.362
O 5.002 7.261 1.889
O 5.002 3.631 9.383
O 5.890 7.261 9.383
O 5.890 3.631 1.889
O 6.050 0.115 6.362
O 6.050 3.515 13.856
O 6.815 0.446 3.747
O 6.815 3.184 11.241
O 7.146 1.211 1.132
O 7.146 2.420 8.626
```

- Total magnetic moment: 12.0 μB per cell
- Final energy: -7.122 eV/atom